Version one
Density functional theory data (PBE) for Y4MgTc after structural relaxation.

Computed properties:
space-group type: F-43m
Fermi-level density of states: 8.6 states/eV/cell

```
Y4MgTc
1.0
0.000 4.355 4.355
4.355 0.000 4.355
4.355 4.355 0.000
Y Mg Tc
4 1 1
direct
0.879 0.374 0.374
0.374 0.374 0.879
0.374 0.879 0.374
0.374 0.374 0.374
0.750 0.750 0.750
0.000 0.000 0.000
```

Version two
Density functional theory data (PBE) for Y4MgTc after structural relaxation.

Computed properties:
space-group type: C2/c
Fermi-level density of states: 12.5 states/eV/cell

```
Y4MgTc
1.0
6.190 -0.179 -0.906
-1.637 6.985 -3.149
-0.222 0.370 7.823
Y Mg Tc
8 2 2
direct
0.882 0.640 0.808
0.050 0.935 0.273
0.618 0.192 0.360
0.450 0.727 0.065
0.550 0.273 0.935
0.382 0.808 0.640
0.950 0.065 0.727
0.118 0.360 0.192
0.750 0.622 0.378
0.250 0.378 0.622
0.250 0.999 0.001
0.750 0.001 0.999
```

From most stable to least stable, the computed energies give version two, version one.

Version one
Density functional theory data (PBE) for MgZn2Tc after structural relaxation.

Computed properties:
space-group type: I-42d
Fermi-level density of states: 3.3 states/eV/cell

```
MgZn2Tc
1.0
-2.084 -3.206 -0.289
3.079 -2.086 0.935
-1.759 -1.983 9.235
Mg Zn Tc
2 4 2
direct
0.500 0.500 0.000
0.250 0.750 0.500
0.654 0.125 0.250
0.096 0.625 0.250
0.375 0.346 0.750
0.875 0.904 0.750
0.000 0.000 0.000
0.750 0.250 0.500
```

Version two
Density functional theory data (PBE) for MgZn2Tc after structural relaxation.

Computed properties:
space-group type: Cmm2
Fermi-level density of states: 3.1 states/eV/cell

```
MgZn2Tc
1.0
2.717 -0.015 0.000
-0.598 2.650 0.000
0.000 0.000 8.665
Mg Tc Zn
1 1 2
direct
0.000 0.000 0.505
0.500 0.500 0.759
0.000 0.000 0.996
0.500 0.500 0.240
```

Version three
Density functional theory data (PBE) for MgZn2Tc after structural relaxation.

Computed properties:
space-group type: R-3m
Fermi-level density of states: 2.5 states/eV/cell

```
MgZn2Tc
1.0
9.181 -0.004 -0.002
8.740 2.809 -0.002
8.740 1.368 2.453
Mg Tc Zn
1 1 2
direct
0.250 0.250 0.250
0.750 0.750 0.750
0.004 0.004 0.004
0.496 0.496 0.496
```

From most stable to least stable, the computed energies give version two, version three, version one.

Version one
Density functional theory data (PBE) for MgZn2Tc after structural relaxation.

Computed properties:
space-group type: Pmm2
Fermi-level density of states: 2.5 states/eV/cell

```
MgZn2Tc
1.0
-1.516 -2.281 0.008
3.388 -2.254 -0.625
0.703 -0.449 5.424
Mg Tc Zn
1 1 2
direct
0.000 0.000 0.506
0.500 0.500 0.759
0.000 0.000 0.985
0.500 0.500 0.250
```

Version two
Density functional theory data (PBE) for MgZn2Tc after structural relaxation.

Computed properties:
space-group type: P4/mmm
Fermi-level density of states: 3.8 states/eV/cell

```
MgZn2Tc
1.0
-0.083 0.100 2.768
-2.769 -0.036 -0.081
0.097 -8.178 0.299
Mg Tc Zn
1 1 2
direct
0.500 0.500 0.250
0.500 0.500 0.750
0.000 0.000 0.983
0.000 0.000 0.517
```

From most stable to least stable, the computed energies give version one, version two.

Version one
Density functional theory data (PBE) for MgZn2Tc after structural relaxation.

Computed properties:
space-group type: Pmmm
Fermi-level density of states: 2.8 states/eV/cell

```
MgZn2Tc
1.0
2.737 0.000 0.000
0.000 4.072 0.000
0.000 0.000 5.530
Mg Tc Zn
1 1 2
direct
0.500 0.500 0.250
0.500 0.500 0.750
0.000 0.000 0.981
0.000 0.000 0.519
```

Version two
Density functional theory data (PBE) for MgZn2Tc after structural relaxation.

Computed properties:
space-group type: I4/mmm
Fermi-level density of states: 3.4 states/eV/cell

```
MgZn2Tc
1.0
4.828 0.029 0.000
1.646 4.539 0.000
-3.237 -2.284 2.760
Mg Tc Zn
1 1 2
direct
0.250 0.750 0.500
0.750 0.250 0.500
0.000 0.000 0.000
0.500 0.500 0.000
```

From most stable to least stable, the computed energies give version one, version two.

Version one
Density functional theory data (PBE) for MgZn2Tc after structural relaxation.

Computed properties:
space-group type: Pm
Fermi-level density of states: 2.5 states/eV/cell

```
MgZn2Tc
1.0
4.284 0.000 0.000
0.000 2.754 0.048
0.000 1.284 5.222
Mg Tc Zn
1 1 2
direct
0.000 0.445 0.488
0.500 0.798 0.776
0.000 0.196 0.980
0.500 0.061 0.256
```

Version two
Density functional theory data (PBE) for MgZn2Tc after structural relaxation.

Computed properties:
space-group type: P4mm
Fermi-level density of states: 3.2 states/eV/cell

```
MgZn2Tc
1.0
2.744 0.000 0.000
0.000 2.744 0.000
0.000 0.000 8.308
Mg Tc Zn
1 1 2
direct
0.000 0.000 0.504
0.500 0.500 0.762
0.000 0.000 0.998
0.500 0.500 0.236
```

From most stable to least stable, the computed energies give version one, version two.

Version one
Density functional theory data (PBE) for Mg2ZrTc after structural relaxation.

Computed properties:
space-group type: Cm
Fermi-level density of states: 3.4 states/eV/cell

```
Mg2ZrTc
1.0
-2.623 -4.154 1.159
-1.150 -4.746 -1.276
3.899 -2.463 2.957
Mg Tc Zr
2 1 1
direct
0.003 0.003 0.982
0.761 0.761 0.754
0.494 0.494 0.481
0.242 0.242 0.283
```

Version two
Density functional theory data (PBE) for Mg2ZrTc after structural relaxation.

Computed properties:
space-group type: Cmmm
Fermi-level density of states: 3.6 states/eV/cell

```
Mg2ZrTc
1.0
-2.677 0.841 0.305
0.990 -0.588 2.577
3.057 9.379 0.966
Mg Tc Zr
2 1 1
direct
0.000 0.000 0.027
0.000 0.000 0.473
0.500 0.500 0.250
0.500 0.500 0.750
```

From most stable to least stable, the computed energies give version one, version two.